Record 1
Density functional theory data (GGA-PBE) for crystalline Ac4In3Ge5 at its relaxed geometry.

Energy of formation ... -0.31 eV per atom
SG ... C2/m
V ... 33.11 A^3/atom
Energy ... -4.289 eV per atom

Unit cell a=4.9949 b=7.9206 c=10.9136 alpha=81.17 beta=76.77 gamma=71.62
Sites, in units of the cell vectors:
Ge (0.7403, 0.6651, 0.8543)
In (0.0000, 0.5000, 0.5000)
Ge (0.5000, 0.5000, 0.5000)
Ge (0.2597, 0.3349, 0.1457)
Ge (0.4346, 0.0092, 0.1216)
In (0.3948, 0.8441, 0.3663)
Ac (0.8962, 0.2682, 0.9394)
In (0.6052, 0.1559, 0.6337)
Ge (0.5654, 0.9908, 0.8784)
Ac (0.1038, 0.7318, 0.0606)
Ac (0.7498, 0.1862, 0.3142)
Ac (0.2502, 0.8138, 0.6858)


Record 2
Density functional theory data (GGA-PBE) for crystalline RbBTe2 at its relaxed geometry.

SG ... R-3m
Uncorrected formation energy ... 198 kJ/mol of formula units
V ... 29.03 A^3/atom
Energy ... -2.968 eV per atom

Unit cell a=10.0768 b=10.0768 c=10.0768 alpha=21.10 beta=21.10 gamma=21.10
Sites, in units of the cell vectors:
Te (0.8818, 0.8818, 0.8818)
Rb (0.0000, 0.0000, 0.0000)
Te (0.1182, 0.1182, 0.1182)
B (0.5000, 0.5000, 0.5000)


Record 3
Density functional theory data (GGA-PBE) for crystalline InWBr2 at its relaxed geometry.

SG ... F-43m
Energy above the lowest structure with this stoichiometry ... 0.954 eV/atom
Uncorrected formation energy ... 415 kJ/mol of formula units
V ... 25.24 A^3/atom
Energy ... -3.684 eV per atom

Unit cell a=5.2266 b=5.2266 c=5.2266 alpha=60.00 beta=60.00 gamma=60.00
Sites, in units of the cell vectors:
Br (0.2500, 0.2500, 0.2500)
In (0.5000, 0.5000, 0.5000)
W (0.7500, 0.7500, 0.7500)
Br (0.0000, 0.0000, 0.0000)


Record 4
Density functional theory data (GGA-PBE) for crystalline Pm5YGe5 at its relaxed geometry.

Energy of formation ... -0.63 eV per atom
SG ... C2/m
V ... 29.03 A^3/atom
Energy ... -5.479 eV per atom

Unit cell a=5.9734 b=7.3986 c=8.2983 alpha=106.33 beta=90.00 gamma=113.81
Sites, in units of the cell vectors:
Ge (0.1636, 0.3272, 0.3338)
Pm (0.3292, 0.6585, 0.6695)
Ge (0.5000, 0.0000, 0.0000)
Pm (0.6708, 0.3415, 0.3305)
Ge (0.8391, 0.6782, 0.1708)
Ge (0.8364, 0.6728, 0.6662)
Pm (0.3301, 0.6602, 0.1610)
Pm (0.6699, 0.3398, 0.8390)
Y (0.0000, 0.0000, 0.0000)
Ge (0.1609, 0.3218, 0.8292)
Pm (0.0000, 0.0000, 0.5000)


Record 5
Density functional theory data (GGA-PBE) for crystalline Sm6Ga2Hg at its relaxed geometry.

Energy of formation ... -0.37 eV per atom
SG ... Immm
Energy above the lowest structure with this stoichiometry ... 0.000 eV/atom
V ... 28.99 A^3/atom
Energy ... -4.225 eV per atom

Unit cell a=8.7942 b=8.7942 c=8.7942 alpha=105.74 beta=111.42 gamma=111.32
Sites, in units of the cell vectors:
Hg (0.0000, 0.0000, 0.0000)
Sm (0.7069, 0.3828, 0.6759)
Ga (0.6428, 0.0000, 0.6428)
Sm (0.9040, 0.7252, 0.1788)
Ga (0.5000, 0.6216, 0.1216)
Hg (0.0000, 0.5000, 0.5000)
Sm (0.4535, 0.2748, 0.1788)
Sm (0.7998, 0.7541, 0.5539)
Ga (0.3572, 0.0000, 0.3572)
Sm (0.5465, 0.7252, 0.8212)
Sm (0.0960, 0.2748, 0.8212)
Ga (0.5000, 0.3784, 0.8784)
Sm (0.2931, 0.6172, 0.3241)
Sm (0.2002, 0.7541, 0.9544)
Sm (0.2002, 0.2459, 0.4461)
Sm (0.2931, 0.9690, 0.6759)
Sm (0.7069, 0.0310, 0.3241)
Sm (0.7998, 0.2459, 0.0456)


Record 6
Density functional theory data (GGA-PBE) for crystalline BaCaHg2 at its relaxed geometry.

Energy of formation ... -0.39 eV per atom
SG ... R3m
V ... 37.27 A^3/atom
Energy ... -1.525 eV per atom

Unit cell a=4.6362 b=4.6362 c=8.4447 alpha=74.07 beta=74.07 gamma=60.00
Sites, in units of the cell vectors:
Hg (0.2620, 0.2620, 0.2139)
Ca (0.6697, 0.6697, 0.9909)
Ba (0.4976, 0.4976, 0.5073)
Hg (0.0707, 0.0707, 0.7879)